# BaSrPa | OQMD via LeMat-Bulk | PBE | relaxed
# VASP energy	-8.702	eV for the cell shown
# magnetization	4.63	Bohr magnetons per cell
# symmetry	F-43m, No. 216
data_BaSrPa
_symmetry_space_group_name_H-M 'P 1'
_symmetry_Int_Tables_number 1
_symmetry_space_group_name_Hall 'P 1'
_cell_length_a 6.129
_cell_length_b 6.129
_cell_length_c 6.129
_cell_angle_alpha 60.00
_cell_angle_beta 60.00
_cell_angle_gamma 60.00
loop_
_atom_site_label
_atom_site_type_symbol
_atom_site_fract_x
_atom_site_fract_y
_atom_site_fract_z
Pa1 Pa 0.250 0.250 0.250
Ba1 Ba 0.500 0.500 0.500
Sr1 Sr 0.000 0.000 0.000

# BaPaTa | OQMD via LeMat-Bulk | PBE | relaxed
# VASP energy	-18.084	eV for the cell shown
# magnetization	0.07	Bohr magnetons per cell
# symmetry	F-43m, No. 216
data_BaPaTa
_symmetry_space_group_name_H-M 'P 1'
_symmetry_Int_Tables_number 1
_symmetry_space_group_name_Hall 'P 1'
_cell_length_a 5.085
_cell_length_b 5.085
_cell_length_c 5.085
_cell_angle_alpha 60.00
_cell_angle_beta 60.00
_cell_angle_gamma 60.00
loop_
_atom_site_label
_atom_site_type_symbol
_atom_site_fract_x
_atom_site_fract_y
_atom_site_fract_z
Ba1 Ba 0.250 0.250 0.250
Pa1 Pa 0.000 0.000 0.000
Ta1 Ta 0.750 0.750 0.750

# BaPaTc | OQMD via LeMat-Bulk | PBE | relaxed
# VASP energy	-18.056	eV for the cell shown
# magnetization	0.01	Bohr magnetons per cell
# symmetry	F-43m, No. 216
data_BaPaTc
_symmetry_space_group_name_H-M 'P 1'
_symmetry_Int_Tables_number 1
_symmetry_space_group_name_Hall 'P 1'
_cell_length_a 4.869
_cell_length_b 4.869
_cell_length_c 4.869
_cell_angle_alpha 60.00
_cell_angle_beta 60.00
_cell_angle_gamma 60.00
loop_
_atom_site_label
_atom_site_type_symbol
_atom_site_fract_x
_atom_site_fract_y
_atom_site_fract_z
Ba1 Ba 0.250 0.250 0.250
Tc1 Tc 0.750 0.750 0.750
Pa1 Pa 0.000 0.000 0.000

Question: The lowest magnetization belongs to which entry?
Answer: BaPaTc

Question: Which value of VASP energy does entry 2 give?
Answer: -18.084 eV for the cell shown

What did the second record say?
# BaPaTa | OQMD via LeMat-Bulk | PBE | relaxed
# VASP energy	-18.084	eV for the cell shown
# magnetization	0.07	Bohr magnetons per cell
# symmetry	F-43m, No. 216
data_BaPaTa
_symmetry_space_group_name_H-M 'P 1'
_symmetry_Int_Tables_number 1
_symmetry_space_group_name_Hall 'P 1'
_cell_length_a 5.085
_cell_length_b 5.085
_cell_length_c 5.085
_cell_angle_alpha 60.00
_cell_angle_beta 60.00
_cell_angle_gamma 60.00
loop_
_atom_site_label
_atom_site_type_symbol
_atom_site_fract_x
_atom_site_fract_y
_atom_site_fract_z
Ba1 Ba 0.250 0.250 0.250
Pa1 Pa 0.000 0.000 0.000
Ta1 Ta 0.750 0.750 0.750